This record from the Alexandria database describes an optimized crystal structure of InAg12Au2. The functional is PBE. Values from VASP.

Cell and atoms, written as Quantum ESPRESSO input:
```
&SYSTEM
  ibrav = 0, nat = 30, ntyp = 3
/
ATOMIC_SPECIES
In 114.82 In.upf
Ag 107.87 Ag.upf
Au 196.97 Au.upf
CELL_PARAMETERS angstrom
5.435 0.000 0.000
0.000 5.435 0.000
0.000 0.000 20.629
ATOMIC_POSITIONS angstrom
In 2.717 0.000 0.000
In 0.000 2.717 0.000
Ag 2.717 2.717 16.308
Ag 0.000 0.000 16.308
Ag 4.072 4.080 18.432
Ag 1.354 4.072 18.432
Ag 0.000 0.000 6.987
Ag 1.363 4.080 2.197
Ag 4.463 1.746 11.602
Ag 2.717 2.717 6.987
Ag 1.363 1.354 18.432
Ag 4.080 4.072 2.197
Ag 1.746 0.972 11.602
Ag 3.689 0.972 9.026
Ag 0.000 0.000 13.641
Ag 0.972 1.746 9.026
Ag 1.354 1.363 2.197
Ag 4.463 3.689 9.026
Ag 3.689 4.463 11.602
Ag 0.000 0.000 4.321
Ag 0.972 3.689 11.602
Ag 2.717 2.717 13.641
Ag 4.080 1.363 18.432
Ag 2.717 2.717 4.321
Ag 1.746 4.463 9.026
Ag 4.072 1.354 2.197
Au 2.717 0.000 5.658
Au 0.000 2.717 5.658
Au 0.000 2.717 14.971
Au 2.717 0.000 14.971
```

Total energy, eV per formula unit: -40.6
Density of states at the Fermi level, states/eV/f.u.: 3.612
E_form, eV per atom: 0.194
SG: P4/nbm, No. 125
Total moment, Bohr magnetons per cell: 0.000